Record 1
The following is a GGA-PBE calculation of a geometry-optimized Al2TeAu structure, from Alexandria via LeMat-Bulk.

Cell: 3.2672 3.2672 7.6019 Å, 90.00 90.00 90.00°
Atoms (fractional coordinates):
Au 0.5000 0.5000 0.2500
Al 0.0000 0.0000 0.0406
Te 0.5000 0.5000 0.7500
Al 0.0000 0.0000 0.4594

Computed properties:
- Raw total energy: -13.85 eV/cell
- Uncorrected formation energy: 0.015 eV per atom

Record 2
The following is a GGA-PBE calculation of a geometry-optimized Al2TeAu structure, from Alexandria via LeMat-Bulk.

Cell: 3.7771 4.6161 5.4806 Å, 69.93 90.00 90.00°
Atoms (fractional coordinates):
Au 0.0000 0.4837 0.4660
Al 0.0000 0.9616 0.0444
Te 0.5000 0.7721 0.7490
Al 0.5000 0.2826 0.2406

Computed properties:
- Raw total energy: -14.21 eV/cell
- Uncorrected formation energy: -0.075 eV per atom

Record 3
The following is a GGA-PBE calculation of a geometry-optimized AlTe2Au structure, from Alexandria via LeMat-Bulk.

Cell: 11.3392 11.3392 5.5751 Å, 90.00 90.00 163.73°
Atoms (fractional coordinates):
Te 0.9352 0.0648 0.2500
Au 0.9360 0.0640 0.7500
Te 0.1913 0.8087 0.2500
Te 0.0648 0.9352 0.7500
Al 0.6800 0.3200 0.7500
Au 0.0640 0.9360 0.2500
Te 0.8087 0.1913 0.7500
Al 0.3200 0.6800 0.2500

Computed properties:
- Raw total energy: -26.77 eV/cell
- Uncorrected formation energy: -0.020 eV per atom

Record 4
The following is a GGA-PBE calculation of a geometry-optimized AlTe2Au structure, from Alexandria via LeMat-Bulk.

Cell: 5.0652 5.0636 5.0617 Å, 70.24 71.13 109.78°
Atoms (fractional coordinates):
Al 0.0000 0.5000 0.5000
Te 0.5000 0.0000 0.5000
Te 0.0000 0.0000 0.0000
Au 0.5000 0.5000 0.0000

Computed properties:
- Raw total energy: -13.31 eV/cell
- Uncorrected formation energy: -0.003 eV per atom

Record 5
The following is a GGA-PBE calculation of a geometry-optimized AlTeAu structure, from Alexandria via LeMat-Bulk.

Cell: 3.8412 6.4711 6.5648 Å, 75.01 73.48 89.38°
Atoms (fractional coordinates):
Au 0.2755 0.4469 0.7878
Al 0.7140 0.1860 0.9231
Te 0.5095 0.5790 0.3265
Te 0.8400 0.8899 0.6944
Au 0.5126 0.0479 0.3370
Al 0.0704 0.3315 0.2090

Computed properties:
- Raw total energy: -21.72 eV/cell
- E above lowest polymorph: 0.099 eV per atom
- Uncorrected formation energy: -0.232 eV per atom

Record 6
The following is a GGA-PBE calculation of a geometry-optimized AlTeAu2 structure, from Alexandria via LeMat-Bulk.

Cell: 4.1951 4.1951 6.2310 Å, 74.02 74.02 55.19°
Atoms (fractional coordinates):
Au 0.5142 0.5142 0.4498
Te 0.7500 0.7500 0.7500
Au 0.9858 0.9858 0.0502
Al 0.2500 0.2500 0.2500

Computed properties:
- Raw total energy: -14.07 eV/cell
- E above lowest polymorph: 0.004 eV per atom
- Uncorrected formation energy: -0.158 eV per atom

Record 7
The following is a GGA-PBE calculation of a geometry-optimized AlTeAu structure, from Alexandria via LeMat-Bulk.

Cell: 6.7344 6.3895 3.4694 Å, 80.25 69.24 30.51°
Atoms (fractional coordinates):
Au 0.3541 0.3541 0.6459
Te 0.6584 0.6584 0.3416
Al 0.9874 0.9874 0.0126

Computed properties:
- Raw total energy: -10.02 eV/cell
- E above lowest polymorph: 0.378 eV per atom
- Uncorrected formation energy: 0.047 eV per atom

Record 8
The following is a GGA-PBE calculation of a geometry-optimized Al2TeAu structure, from Alexandria via LeMat-Bulk.

Cell: 4.8399 4.8399 4.4535 Å, 75.08 75.08 108.69°
Atoms (fractional coordinates):
Al 0.0000 0.0000 0.0000
Al 0.5000 0.5000 0.0000
Au 0.5000 0.0000 0.5000
Te 0.0000 0.5000 0.5000

Computed properties:
- Raw total energy: -13.73 eV/cell
- Uncorrected formation energy: 0.043 eV per atom

Record 9
The following is a GGA-PBE calculation of a geometry-optimized AlTe2Au structure, from Alexandria via LeMat-Bulk.

Cell: 4.6574 4.6574 7.8526 Å, 90.00 90.00 130.62°
Atoms (fractional coordinates):
Al 0.5000 0.5000 0.2500
Au 0.5000 0.5000 0.7500
Te 0.0000 0.0000 0.0050
Te 0.0000 0.0000 0.4950

Computed properties:
- Raw total energy: -12.94 eV/cell
- Uncorrected formation energy: 0.090 eV per atom

Record 10
The following is a GGA-PBE calculation of a geometry-optimized AlTeAu2 structure, from Alexandria via LeMat-Bulk.

Cell: 3.9527 3.9527 5.7438 Å, 90.00 90.00 90.00°
Atoms (fractional coordinates):
Au 0.5000 0.5000 0.1285
Te 0.0000 0.0000 0.5821
Au 0.0000 0.0000 0.0927
Al 0.5000 0.5000 0.6967

Computed properties:
- Raw total energy: -13.50 eV/cell
- E above lowest polymorph: 0.146 eV per atom
- Uncorrected formation energy: -0.015 eV per atom

Record 11
The following is a GGA-PBE calculation of a geometry-optimized AlTeAu2 structure, from Alexandria via LeMat-Bulk.

Cell: 5.1628 5.1628 5.1628 Å, 128.41 128.41 75.96°
Atoms (fractional coordinates):
Al 0.7500 0.2500 0.5000
Te 0.2500 0.7500 0.5000
Au 0.5000 0.5000 0.0000
Au 0.0000 0.0000 0.0000

Computed properties:
- Raw total energy: -12.97 eV/cell
- E above lowest polymorph: 0.279 eV per atom
- Uncorrected formation energy: 0.118 eV per atom

Record 12
The following is a GGA-PBE calculation of a geometry-optimized AlTe2Au structure, from Alexandria via LeMat-Bulk.

Cell: 8.4807 8.4807 8.4807 Å, 28.39 28.39 28.39°
Atoms (fractional coordinates):
Te 0.1065 0.1065 0.1065
Au 0.0000 0.0000 0.0000
Al 0.5000 0.5000 0.5000
Te 0.8935 0.8935 0.8935

Computed properties:
- Raw total energy: -14.18 eV/cell
- Uncorrected formation energy: -0.218 eV per atom

Record 13
The following is a GGA-PBE calculation of a geometry-optimized AlTeAu2 structure, from Alexandria via LeMat-Bulk.

Cell: 6.8679 6.8679 6.8679 Å, 152.93 144.11 45.52°
Atoms (fractional coordinates):
Al 0.2427 0.7427 0.5000
Au 0.0756 0.0756 0.0000
Te 0.4444 0.4444 0.0000
Au 0.7373 0.2374 0.5000

Computed properties:
- Raw total energy: -13.78 eV/cell
- E above lowest polymorph: 0.076 eV per atom
- Uncorrected formation energy: -0.085 eV per atom

Record 14
The following is a GGA-PBE calculation of a geometry-optimized Al2Te6Au3 structure, from Alexandria via LeMat-Bulk.

Cell: 6.5724 6.8026 16.8714 Å, 79.60 78.77 61.11°
Atoms (fractional coordinates):
Te 0.2670 0.4882 0.0925
Au 0.2437 0.4948 0.2490
Au 0.5160 0.7500 0.2500
Te 0.9905 0.1468 0.0958
Te 0.0095 0.8532 0.9042
Al 0.6649 0.1668 0.0079
Te 0.4741 0.2835 0.5936
Au 0.7563 0.5052 0.7510
Au 0.0125 0.9948 0.7490
Te 0.6489 0.7835 0.0936
Te 0.2331 0.3532 0.4042
Te 0.8478 0.0118 0.4075
Te 0.7669 0.6468 0.5958
Al 0.3351 0.8332 0.9921
Te 0.5259 0.7165 0.4064
Au 0.9875 0.0052 0.2510
Au 0.4840 0.2500 0.7500
Te 0.7330 0.5118 0.9075
Te 0.3511 0.2165 0.9064
Al 0.1603 0.6668 0.5079
Te 0.1522 0.9882 0.5925
Al 0.8397 0.3332 0.4921

Computed properties:
- Raw total energy: -73.89 eV/cell
- Uncorrected formation energy: -0.071 eV per atom

Record 15
The following is a GGA-PBE calculation of a geometry-optimized AlTeAu2 structure, from Alexandria via LeMat-Bulk.

Cell: 3.3012 3.3012 7.4844 Å, 90.00 90.00 90.00°
Atoms (fractional coordinates):
Al 0.5000 0.5000 0.8020
Au 0.5000 0.5000 0.2166
Au 0.0000 0.0000 0.9735
Te 0.0000 0.0000 0.5078

Computed properties:
- Raw total energy: -13.13 eV/cell
- E above lowest polymorph: 0.238 eV per atom
- Uncorrected formation energy: 0.076 eV per atom

Record 16
The following is a GGA-PBE calculation of a geometry-optimized Al2TeAu structure, from Alexandria via LeMat-Bulk.

Cell: 4.7973 4.7973 3.6165 Å, 90.00 90.00 90.00°
Atoms (fractional coordinates):
Al 0.0000 0.0000 0.0000
Te 0.0000 0.5000 0.5000
Au 0.5000 0.0000 0.5000
Al 0.5000 0.5000 0.0000

Computed properties:
- Raw total energy: -13.53 eV/cell
- Uncorrected formation energy: 0.094 eV per atom

Record 17
The following is a GGA-PBE calculation of a geometry-optimized AlTe2Au structure, from Alexandria via LeMat-Bulk.

Cell: 24.9413 4.2781 7.6892 Å, 90.00 140.58 90.00°
Atoms (fractional coordinates):
Te 0.4037 0.7500 0.7236
Al 0.5555 0.2500 0.5050
Al 0.0555 0.2500 0.0050
Al 0.9445 0.7500 0.9950
Au 0.1977 0.7500 0.0896
Te 0.9037 0.7500 0.2236
Te 0.0963 0.2500 0.7764
Au 0.6977 0.7500 0.5896
Au 0.3023 0.2500 0.4104
Au 0.8023 0.2500 0.9104
Te 0.8897 0.2500 0.6723
Al 0.4445 0.7500 0.4950
Te 0.1103 0.7500 0.3277
Te 0.6103 0.7500 0.8277
Te 0.5963 0.2500 0.2764
Te 0.3897 0.2500 0.1723

Computed properties:
- Raw total energy: -57.35 eV/cell
- Uncorrected formation energy: -0.259 eV per atom

Record 18
The following is a GGA-PBE calculation of a geometry-optimized AlTeAu structure, from Alexandria via LeMat-Bulk.

Cell: 6.7482 6.7482 6.8079 Å, 90.00 90.00 120.00°
Atoms (fractional coordinates):
Al 0.4837 0.0479 0.0183
Au 0.9508 0.5578 0.3455
Te 0.7007 0.9641 0.3029
Au 0.4422 0.3929 0.0121
Te 0.2634 0.2993 0.6362
Au 0.6071 0.0492 0.6788
Al 0.9521 0.4358 0.6849
Te 0.0359 0.7366 0.9696
Al 0.5642 0.5163 0.3516

Computed properties:
- Raw total energy: -31.95 eV/cell
- E above lowest polymorph: 0.168 eV per atom
- Uncorrected formation energy: -0.163 eV per atom

Record 19
The following is a GGA-PBE calculation of a geometry-optimized Al2TeAu structure, from Alexandria via LeMat-Bulk.

Cell: 5.3439 5.3439 5.3439 Å, 137.98 109.01 86.07°
Atoms (fractional coordinates):
Al 0.4743 0.4743 0.0000
Te 0.7500 0.2500 0.5000
Al 0.0257 0.0257 0.0000
Au 0.2500 0.7500 0.5000

Computed properties:
- Raw total energy: -13.73 eV/cell
- Uncorrected formation energy: 0.043 eV per atom

Record 20
The following is a GGA-PBE calculation of a geometry-optimized AlTeAu2 structure, from Alexandria via LeMat-Bulk.

Cell: 4.9139 4.9139 4.9139 Å, 60.00 60.00 60.00°
Atoms (fractional coordinates):
Au 0.2500 0.2500 0.2500
Al 0.5000 0.5000 0.5000
Te 0.7500 0.7500 0.7500
Au 0.0000 0.0000 0.0000

Computed properties:
- Raw total energy: -12.62 eV/cell
- E above lowest polymorph: 0.367 eV per atom
- Uncorrected formation energy: 0.206 eV per atom

Record 21
The following is a GGA-PBE calculation of a geometry-optimized AlTeAu structure, from Alexandria via LeMat-Bulk.

Cell: 4.6476 4.6476 4.6476 Å, 60.00 60.00 60.00°
Atoms (fractional coordinates):
Al 0.7500 0.7500 0.7500
Au 0.0000 0.0000 0.0000
Te 0.5000 0.5000 0.5000

Computed properties:
- Raw total energy: -10.25 eV/cell
- E above lowest polymorph: 0.302 eV per atom
- Uncorrected formation energy: -0.029 eV per atom

Record 22
The following is a GGA-PBE calculation of a geometry-optimized AlTeAu2 structure, from Alexandria via LeMat-Bulk.

Cell: 7.3116 7.3116 6.1576 Å, 53.58 53.58 90.00°
Atoms (fractional coordinates):
Au 0.1597 0.6250 0.2500
Te 0.7500 0.2500 0.5000
Au 0.8750 0.8403 0.7500
Te 0.0000 0.0000 0.0000
Au 0.3750 0.4097 0.7500
Al 0.5000 0.5000 0.0000
Au 0.5903 0.1250 0.2500
Al 0.2500 0.7500 0.5000

Computed properties:
- Raw total energy: -26.91 eV/cell
- E above lowest polymorph: 0.158 eV per atom
- Uncorrected formation energy: -0.003 eV per atom

Record 23
The following is a GGA-PBE calculation of a geometry-optimized AlTe2Au structure, from Alexandria via LeMat-Bulk.

Cell: 3.1599 3.1599 10.2302 Å, 90.00 90.00 90.00°
Atoms (fractional coordinates):
Al 0.0000 0.0000 0.5468
Te 0.0000 0.0000 0.9486
Au 0.5000 0.5000 0.6884
Te 0.5000 0.5000 0.3162

Computed properties:
- Raw total energy: -13.01 eV/cell
- Uncorrected formation energy: 0.072 eV per atom

Record 24
The following is a GGA-PBE calculation of a geometry-optimized AlTe2Au structure, from Alexandria via LeMat-Bulk.

Cell: 7.7800 6.3461 7.7740 Å, 109.92 114.00 109.94°
Atoms (fractional coordinates):
Au 0.1103 0.0207 0.4648
Te 0.5895 0.2612 0.2268
Te 0.1198 0.3855 0.7911
Te 0.3280 0.7611 0.4874
Al 0.4786 0.8249 0.8854
Te 0.8924 0.8853 0.0175
Al 0.9871 0.3248 0.3768
Au 0.5668 0.5212 0.0092

Computed properties:
- Raw total energy: -29.08 eV/cell
- Uncorrected formation energy: -0.309 eV per atom

Record 25
The following is a GGA-PBE calculation of a geometry-optimized AlTe2Au structure, from Alexandria via LeMat-Bulk.

Cell: 18.8083 4.2410 9.1395 Å, 90.00 144.58 90.00°
Atoms (fractional coordinates):
Te 0.8956 0.9355 0.6629
Te 0.8784 0.1597 0.2906
Te 0.3784 0.3403 0.7906
Al 0.2610 0.7559 0.4120
Au 0.4124 0.9045 0.4737
Te 0.6216 0.6597 0.2094
Al 0.7390 0.2441 0.5880
Te 0.1044 0.0645 0.3371
Te 0.3956 0.5645 0.1629
Te 0.1216 0.8403 0.7094
Au 0.0876 0.4045 0.0263
Au 0.9124 0.5955 0.9737
Au 0.5876 0.0955 0.5263
Al 0.2390 0.2559 0.0880
Te 0.6044 0.4355 0.8371
Al 0.7610 0.7441 0.9120

Computed properties:
- Raw total energy: -55.24 eV/cell
- Uncorrected formation energy: -0.127 eV per atom

Record 26
The following is a GGA-PBE calculation of a geometry-optimized AlTe2Au structure, from Alexandria via LeMat-Bulk.

Cell: 7.6188 7.6188 7.6188 Å, 34.58 34.58 34.58°
Atoms (fractional coordinates):
Al 0.0083 0.0083 0.0083
Au 0.4866 0.4866 0.4866
Te 0.6268 0.6268 0.6268
Te 0.1293 0.1293 0.1293

Computed properties:
- Raw total energy: -14.17 eV/cell
- Uncorrected formation energy: -0.217 eV per atom

Record 27
The following is a GGA-PBE calculation of a geometry-optimized AlTe2Au structure, from Alexandria via LeMat-Bulk.

Cell: 9.0784 6.4162 11.2250 Å, 50.25 143.31 134.40°
Atoms (fractional coordinates):
Al 0.1906 0.3318 0.9582
Te 0.6705 0.3579 0.1965
Au 0.6425 0.7824 0.3483
Te 0.1679 0.8340 0.6690
Te 0.7983 0.8756 0.7692
Al 0.7369 0.3548 0.4714
Te 0.1362 0.3588 0.1479
Au 0.3827 0.0168 0.5120

Computed properties:
- Raw total energy: -29.03 eV/cell
- Uncorrected formation energy: -0.303 eV per atom